Entry 1:
## CaMg3Zn (PBE)

Data for CaMg3Zn after structural relaxation.

POSCAR file:
```
CaMg3Zn
1.0
7.365 0.000 0.000
0.000 4.326 0.000
-2.368 0.000 7.770
Ca Mg Zn
2 6 2
Direct
0.187 0.000 0.173
0.813 0.500 0.827
0.090 0.999 0.647
0.342 0.499 0.900
0.351 0.499 0.524
0.649 0.999 0.476
0.658 0.999 0.100
0.910 0.499 0.353
0.492 0.000 0.750
0.508 0.500 0.250
```

Values from the calculation:
As for the energy above the most stable polymorph in this dataset: 0.000 eV per atom. Its space group is P2_1. The formation energy from the elements comes out at -117.8 meV/atom.



Entry 2:
## PmYIn (PBE)

Data for PmYIn after structural relaxation.

POSCAR file:
```
PmYIn
1.0
-1.800 1.800 6.958
1.800 -1.800 6.958
1.800 1.800 -6.958
Pm Y In
1 1 1
Direct
0.000 0.000 0.000
0.693 0.693 0.000
0.342 0.342 0.000
```

Values from the calculation:
As for the energy above the most stable polymorph in this dataset: 0.056 eV per atom. Its space group is I4mm. The formation energy from the elements comes out at -315.5 meV/atom.



Entry 3:
## MgAgB2Ir (PBE)

Data for MgAgB2Ir after structural relaxation.

POSCAR file:
```
MgAgB2Ir
1.0
4.053 0.000 0.000
0.000 4.053 0.000
0.000 0.000 4.892
Mg Ag B Ir
1 1 2 1
Direct
0.000 0.000 0.000
0.000 0.000 0.500
0.000 0.500 0.500
0.500 0.000 0.500
0.500 0.500 0.000
```

Values from the calculation:
Its space group is P4/mmm. The formation energy from the elements comes out at 1657.3 meV/atom.



Entry 4:
## Ac6La5Mg (PBE)

Data for Ac6La5Mg after structural relaxation.

POSCAR file:
```
Ac6La5Mg
1.0
-2.735 5.355 8.182
2.735 -5.355 8.182
2.735 5.355 -8.182
Ac La Mg
6 5 1
Direct
0.082 0.335 0.747
0.247 0.000 0.247
0.412 0.665 0.747
0.588 0.335 0.253
0.753 0.000 0.753
0.918 0.665 0.253
0.169 0.169 0.000
0.335 0.835 0.500
0.500 0.500 0.000
0.665 0.165 0.500
0.831 0.831 0.000
0.000 0.500 0.500
```

Values from the calculation:
Its space group is Immm. The formation energy from the elements comes out at 18.1 meV/atom.



Looking at E for the records above, in order, we have -17.3, -14.9, -18.4, -50.7 eV/cell.
Looking at M_tot for the records above, in order, we have 0.000, 0.000, 0.000, 0.000 μB per atom.
Looking at DOS(E_F) for the records above, in order, we have 5.5, 3.0, 1.5, 18.9 states/eV/cell.